[1]
KZn2NiHg | PBE-GGA | relaxed

Values from the calculation:
The formation enthalpy at 0 K is -0.0426 eV/atom. Its total energy is -1.99 eV/atom.

Lattice parameters (Å, degrees): 4.779 4.779 5.138 90.00 90.00 90.00
Space group P4/mmm (No. 123)
Asymmetric unit:
K 0.000 0.000 0.000 [1 per cell]
Zn 0.000 0.500 0.500 [2 per cell]
Ni 0.500 0.500 0.500 [1 per cell]
Hg 0.500 0.500 0.000 [1 per cell]

***

[2]
KNpHg2O6 | PBE-GGA | relaxed

Values from the calculation:
The formation energy from raw total energies is -1.484 eV per atom. Its total energy is -5.92 eV/atom.

Lattice parameters (Å, degrees): 6.131 6.143 6.228 90.04 119.42 119.88
Space group P-1 (No. 2)
Asymmetric unit:
K 0.000 0.000 0.000 [1 per cell]
Np 0.000 0.500 0.500 [1 per cell]
Hg 0.461 0.732 0.191 [2 per cell]
O 0.123 0.444 0.266 [2 per cell]
O 0.178 0.323 0.734 [2 per cell]
O 0.411 0.855 0.736 [2 per cell]

***

[3]
K2NpHgO6 | PBE-GGA | relaxed

Values from the calculation:
The formation energy from raw total energies is -1.745 eV per atom. Its total energy is -6.26 eV/atom.

Lattice parameters (Å, degrees): 6.025 6.115 6.133 117.31 116.80 94.55
Space group P-1 (No. 2)
Asymmetric unit:
K 0.244 0.243 0.487 [2 per cell]
Np 0.000 0.500 0.000 [1 per cell]
Hg 0.500 0.000 0.000 [1 per cell]
O 0.207 0.801 0.000 [2 per cell]
O 0.210 0.717 0.428 [2 per cell]
O 0.261 0.334 0.006 [2 per cell]

***

[4]
K2NpHg2O6 | PBE-GGA | relaxed

Values from the calculation:
The formation energy from raw total energies is -1.566 eV per atom. Its total energy is -5.70 eV/atom.

Lattice parameters (Å, degrees): 6.960 9.764 7.067 90.00 118.55 90.00
Space group C2/m (No. 12)
Asymmetric unit:
K 0.000 0.186 0.000 [4 per cell]
Np 0.000 0.000 0.500 [2 per cell]
Hg 0.000 0.333 0.500 [4 per cell]
O 0.167 0.147 0.725 [8 per cell]
O 0.242 0.000 0.372 [4 per cell]

***

[5]
K4Np3HgO12 | PBE-GGA | relaxed

Values from the calculation:
The formation energy from raw total energies is -2.345 eV per atom. Its total energy is -7.50 eV/atom.

Lattice parameters (Å, degrees): 8.637 8.637 8.637 90.00 90.00 90.00
Space group Im-3m (No. 229)
Asymmetric unit:
K 0.250 0.250 0.250 [8 per cell]
Np 0.000 0.000 0.500 [6 per cell]
Hg 0.000 0.000 0.000 [2 per cell]
O 0.000 0.000 0.275 [12 per cell]
O 0.000 0.250 0.500 [12 per cell]

***

[6]
K4Np3HgS8 | PBE-GGA | relaxed

Values from the calculation:
The formation energy from raw total energies is -1.199 eV per atom. Its total energy is -5.98 eV/atom.

Lattice parameters (Å, degrees): 8.2247 8.2247 21.9351 90.00 90.00 120.00
Space group R-3m (No. 166, hexagonal axes)
Asymmetric unit:
K 0.0000 0.0000 0.0000 [3 per cell]
K 0.0000 0.5000 0.0000 [9 per cell]
Np 0.0000 0.5000 0.5000 [9 per cell]
Hg 0.0000 0.0000 0.5000 [3 per cell]
S 0.0000 0.0000 0.2332 [6 per cell]
S 0.0145 0.5073 0.7665 [18 per cell]